w:
The following is a PBE calculation of a geometry-optimized CoAgPCl2 structure, from the Alexandria database.

## Properties
total magnetic moment = 0.000 μB per formula unit
symmetry = P4/mmm

a b c (Å): 4.875 4.875 4.197
angles (deg): 90.00 90.00 90.00
Sites, in units of the cell vectors:
Co (0.000, 0.000, 0.000)
Ag (0.500, 0.500, 0.500)
P (0.000, 0.000, 0.500)
Cl (0.000, 0.500, 0.000)
Cl (0.500, 0.000, 0.000)

=====

x:
The following is a PBE calculation of a geometry-optimized CoAgPCl2 structure, from the Alexandria database.

## Properties
total magnetic moment = 3.944 μB per formula unit
symmetry = P4/mmm

a b c (Å): 4.942 4.942 4.954
angles (deg): 90.00 90.00 90.00
Sites, in units of the cell vectors:
Co (0.000, 0.000, 0.000)
Ag (0.500, 0.500, 0.500)
P (0.500, 0.500, 0.000)
Cl (0.000, 0.500, 0.500)
Cl (0.500, 0.000, 0.500)

=====

Short version: x is the least stable of them.

=====

w:
The following is a PBE calculation of a geometry-optimized CoAgSCl2 structure, from the Alexandria database.

## Properties
total magnetic moment = 2.667 μB per formula unit
symmetry = P4/mmm

a b c (Å): 4.818 4.818 5.131
angles (deg): 90.00 90.00 90.00
Sites, in units of the cell vectors:
Co (0.000, 0.000, 0.000)
Ag (0.500, 0.500, 0.500)
S (0.500, 0.500, 0.000)
Cl (0.000, 0.500, 0.500)
Cl (0.500, 0.000, 0.500)

=====

x:
The following is a PBE calculation of a geometry-optimized CoAgSCl2 structure, from the Alexandria database.

## Properties
total magnetic moment = 1.157 μB per formula unit
symmetry = P4/mmm

a b c (Å): 4.856 4.856 4.232
angles (deg): 90.00 90.00 90.00
Sites, in units of the cell vectors:
Co (0.000, 0.000, 0.000)
Ag (0.500, 0.500, 0.500)
S (0.000, 0.000, 0.500)
Cl (0.000, 0.500, 0.000)
Cl (0.500, 0.000, 0.000)

=====

Short version: w is the least stable of them.

=====

w:
The following is a PBE calculation of a geometry-optimized CrAg2Cl6 structure, from the Alexandria database.

## Properties
total magnetic moment = 2.364 μB per formula unit
symmetry = P2_1/c

a b c (Å): 6.477 6.325 12.318
angles (deg): 90.00 119.46 90.00
Sites, in units of the cell vectors:
Cr (0.000, 0.000, 0.000)
Cr (0.000, 0.500, 0.500)
Ag (0.293, 0.048, 0.809)
Ag (0.293, 0.452, 0.309)
Ag (0.707, 0.548, 0.691)
Ag (0.707, 0.952, 0.191)
Cl (0.025, 0.235, 0.373)
Cl (0.025, 0.265, 0.873)
Cl (0.264, 0.707, 0.469)
Cl (0.264, 0.793, 0.969)
Cl (0.330, 0.153, 0.176)
Cl (0.330, 0.347, 0.676)
Cl (0.670, 0.653, 0.324)
Cl (0.670, 0.847, 0.824)
Cl (0.736, 0.207, 0.031)
Cl (0.736, 0.293, 0.531)
Cl (0.975, 0.735, 0.127)
Cl (0.975, 0.765, 0.627)

=====

x:
The following is a PBE calculation of a geometry-optimized CrAg2Cl6 structure, from the Alexandria database.

## Properties
total magnetic moment = 2.085 μB per formula unit
symmetry = P4_2/mnm

a b c (Å): 6.045 6.045 11.545
angles (deg): 90.00 90.00 90.00
Sites, in units of the cell vectors:
Cr (0.000, 0.000, 0.000)
Cr (0.500, 0.500, 0.500)
Ag (0.000, 0.000, 0.337)
Ag (0.000, 0.000, 0.663)
Ag (0.500, 0.500, 0.163)
Ag (0.500, 0.500, 0.837)
Cl (0.186, 0.186, 0.150)
Cl (0.186, 0.186, 0.850)
Cl (0.225, 0.225, 0.500)
Cl (0.275, 0.725, 0.000)
Cl (0.314, 0.686, 0.350)
Cl (0.314, 0.686, 0.650)
Cl (0.686, 0.314, 0.350)
Cl (0.686, 0.314, 0.650)
Cl (0.725, 0.275, 0.000)
Cl (0.775, 0.775, 0.500)
Cl (0.814, 0.814, 0.150)
Cl (0.814, 0.814, 0.850)

=====

Short version: x is the least stable of them.

=====

w:
The following is a PBE calculation of a geometry-optimized CrAgPCl2 structure, from the Alexandria database.

## Properties
total magnetic moment = 2.044 μB per formula unit
symmetry = P4/mmm

a b c (Å): 4.822 4.822 4.640
angles (deg): 90.00 90.00 90.00
Sites, in units of the cell vectors:
Cr (0.000, 0.000, 0.000)
Ag (0.500, 0.500, 0.500)
P (0.000, 0.000, 0.500)
Cl (0.000, 0.500, 0.000)
Cl (0.500, 0.000, 0.000)

=====

x:
The following is a PBE calculation of a geometry-optimized CrAgPCl2 structure, from the Alexandria database.

## Properties
total magnetic moment = 2.972 μB per formula unit
symmetry = P4/mmm

a b c (Å): 5.052 5.052 4.905
angles (deg): 90.00 90.00 90.00
Sites, in units of the cell vectors:
Cr (0.000, 0.000, 0.000)
Ag (0.500, 0.500, 0.500)
P (0.500, 0.500, 0.000)
Cl (0.000, 0.500, 0.500)
Cl (0.500, 0.000, 0.500)

=====

Short version: x is the least stable of them.

=====

w:
The following is a PBE calculation of a geometry-optimized CrAgSCl2 structure, from the Alexandria database.

## Properties
total magnetic moment = 4.156 μB per formula unit
symmetry = P4/mmm

a b c (Å): 4.878 4.878 5.064
angles (deg): 90.00 90.00 90.00
Sites, in units of the cell vectors:
Cr (0.000, 0.000, 0.000)
Ag (0.500, 0.500, 0.500)
S (0.500, 0.500, 0.000)
Cl (0.000, 0.500, 0.500)
Cl (0.500, 0.000, 0.500)

=====

x:
The following is a PBE calculation of a geometry-optimized CrAgSCl2 structure, from the Alexandria database.

## Properties
total magnetic moment = 3.000 μB per formula unit
symmetry = P4/mmm

a b c (Å): 4.842 4.842 4.592
angles (deg): 90.00 90.00 90.00
Sites, in units of the cell vectors:
Cr (0.000, 0.000, 0.000)
Ag (0.500, 0.500, 0.500)
S (0.000, 0.000, 0.500)
Cl (0.000, 0.500, 0.000)
Cl (0.500, 0.000, 0.000)

=====

Short version: w is the least stable of them.